Entry 1:
## LaY4Er6 (PBE)

Data for a relaxed LaY4Er6 crystal.

a = 8.464 Å, b = 8.464 Å, c = 8.464 Å
α = 125.87°, β = 125.87°, γ = 80.10°
Positions (direct):
La: 0.000 0.000 0.000
Y: 0.257 0.257 0.667
Y: 0.410 0.743 0.000
Y: 0.590 0.590 0.333
Y: 0.743 0.410 0.000
Er: 0.000 0.500 0.500
Er: 0.065 0.566 0.000
Er: 0.434 0.434 0.499
Er: 0.500 0.000 0.500
Er: 0.566 0.065 0.000
Er: 0.935 0.935 0.501

Properties
Energy above the lowest structure with this stoichiometry in meV per atom: 350.9
Symmetry: No. 121
Energy of formation from the pure elements in eV per formula unit: 5.18



Entry 2:
## LaY2Er9 (PBE)

Data for a relaxed LaY2Er9 crystal.

a = 5.005 Å, b = 5.005 Å, c = 15.034 Å
α = 90.00°, β = 90.00°, γ = 90.00°
Positions (direct):
La: 0.000 0.000 0.000
Y: 0.000 0.000 0.334
Y: 0.000 0.000 0.666
Er: 0.000 0.500 0.170
Er: 0.000 0.500 0.500
Er: 0.000 0.500 0.830
Er: 0.500 0.000 0.170
Er: 0.500 0.000 0.500
Er: 0.500 0.000 0.830
Er: 0.500 0.500 0.000
Er: 0.500 0.500 0.335
Er: 0.500 0.500 0.665

Properties
Symmetry: No. 123
Energy of formation from the pure elements in eV per formula unit: 0.37



Entry 3:
## La3Y8Er2 (PBE)

Data for a relaxed La3Y8Er2 crystal.

a = 10.805 Å, b = 10.805 Å, c = 5.707 Å
α = 90.11°, β = 90.11°, γ = 42.26°
Positions (direct):
La: 0.000 0.000 0.000
La: 0.299 0.701 0.500
La: 0.701 0.299 0.500
Y: 0.137 0.137 0.499
Y: 0.182 0.598 0.999
Y: 0.325 0.325 0.498
Y: 0.402 0.818 0.001
Y: 0.598 0.182 0.999
Y: 0.675 0.675 0.502
Y: 0.818 0.402 0.001
Y: 0.863 0.863 0.501
Er: 0.241 0.241 0.997
Er: 0.759 0.759 0.003

Properties
Energy above the lowest structure with this stoichiometry in meV per atom: 121.4
Symmetry: No. 12
Energy of formation from the pure elements in eV per formula unit: 3.26



Entry 4:
## La2Y2Er (PBE)

Data for a relaxed La2Y2Er crystal.

a = 8.628 Å, b = 8.628 Å, c = 6.895 Å
α = 102.94°, β = 102.94°, γ = 43.11°
Positions (direct):
La: 0.019 0.179 0.444
La: 0.179 0.019 0.944
La: 0.821 0.981 0.056
La: 0.981 0.821 0.556
Y: 0.221 0.380 0.849
Y: 0.380 0.221 0.349
Y: 0.620 0.779 0.651
Y: 0.779 0.620 0.151
Er: 0.416 0.584 0.250
Er: 0.584 0.416 0.750

Properties
Energy above the lowest structure with this stoichiometry in meV per atom: 0.0
Symmetry: No. 15
Energy of formation from the pure elements in eV per formula unit: 0.11